VASP calculation (SCAN) on Na2InSb at its PBEsol-relaxed geometry.

The structure in CIF format:
```
data_Na2InSb
_cell_length_a 4.517
_cell_length_b 4.517
_cell_length_c 21.710
_cell_angle_alpha 90.00
_cell_angle_beta 90.00
_cell_angle_gamma 90.00
_symmetry_space_group_name_H-M 'I -4 2 d'
_symmetry_Int_Tables_number 122
_symmetry_space_group_name_Hall 'I -4 2bw'
loop_
_atom_site_label
_atom_site_fract_x
_atom_site_fract_y
_atom_site_fract_z
Na1 0.244 0.250 0.125
In1 0.000 0.000 0.500
Sb1 0.000 0.000 0.000
```

Results
DOS(E_F): 8.36 states/eV per cell
energy relative to the elements, uncorrected: -97 meV/atom



VASP calculation (SCAN) on NaScIn2 at its PBEsol-relaxed geometry.

The structure in CIF format:
```
data_NaScIn2
_cell_length_a 7.127
_cell_length_b 7.127
_cell_length_c 7.127
_cell_angle_alpha 90.00
_cell_angle_beta 90.00
_cell_angle_gamma 90.00
_symmetry_space_group_name_H-M 'F m -3 m'
_symmetry_Int_Tables_number 225
_symmetry_space_group_name_Hall '-F 4 2 3'
loop_
_atom_site_label
_atom_site_fract_x
_atom_site_fract_y
_atom_site_fract_z
Na1 0.000 0.000 0.000
Sc1 0.000 0.000 0.500
In1 0.250 0.250 0.250
```

Results
DOS(E_F): 4.81 states/eV per cell
E_form: -0.349 eV/atom



VASP calculation (SCAN) on Na3ScIn at its PBEsol-relaxed geometry.

The structure in CIF format:
```
data_Na3ScIn
_cell_length_a 5.928
_cell_length_b 5.928
_cell_length_c 5.928
_cell_angle_alpha 90.00
_cell_angle_beta 90.00
_cell_angle_gamma 90.00
_symmetry_space_group_name_H-M 'P m -3 m'
_symmetry_Int_Tables_number 221
_symmetry_space_group_name_Hall '-P 4 2 3'
loop_
_atom_site_label
_atom_site_fract_x
_atom_site_fract_y
_atom_site_fract_z
Na1 0.000 0.000 0.500
Sc1 0.000 0.000 0.000
In1 0.500 0.500 0.500
```

Results
DOS(E_F): 7.08 states/eV per cell
E_form: 0.946 eV/atom



VASP calculation (SCAN) on NaIn2Sn2 at its PBEsol-relaxed geometry.

The structure in CIF format:
```
data_NaIn2Sn2
_cell_length_a 5.122
_cell_length_b 5.122
_cell_length_c 11.426
_cell_angle_alpha 90.00
_cell_angle_beta 90.00
_cell_angle_gamma 90.00
_symmetry_space_group_name_H-M 'I 4/m m m'
_symmetry_Int_Tables_number 139
_symmetry_space_group_name_Hall '-I 4 2'
loop_
_atom_site_label
_atom_site_fract_x
_atom_site_fract_y
_atom_site_fract_z
Na1 0.000 0.000 0.000
In1 0.000 0.500 0.250
Sn1 0.000 0.000 0.377
```

Results
DOS(E_F): 3.15 states/eV per cell
offset from the most stable computed form: 0 meV/atom
E_form: -0.106 eV/atom



VASP calculation (SCAN) on NaIn2Sn2 at its PBEsol-relaxed geometry.

The structure in CIF format:
```
data_NaIn2Sn2
_cell_length_a 8.347
_cell_length_b 8.347
_cell_length_c 3.854
_cell_angle_alpha 90.00
_cell_angle_beta 90.00
_cell_angle_gamma 90.00
_symmetry_space_group_name_H-M 'P 4/m b m'
_symmetry_Int_Tables_number 127
_symmetry_space_group_name_Hall '-P 4 2ab'
loop_
_atom_site_label
_atom_site_fract_x
_atom_site_fract_y
_atom_site_fract_z
Na1 0.000 0.000 0.000
In1 0.156 0.344 0.500
Sn1 0.139 0.639 0.000
```

Results
DOS(E_F): 5.01 states/eV per cell
offset from the most stable computed form: 69 meV/atom
E_form: -0.037 eV/atom



VASP calculation (SCAN) on NaSrIn3 at its PBEsol-relaxed geometry.

The structure in CIF format:
```
data_NaSrIn3
_cell_length_a 6.055
_cell_length_b 6.055
_cell_length_c 6.055
_cell_angle_alpha 90.00
_cell_angle_beta 90.00
_cell_angle_gamma 90.00
_symmetry_space_group_name_H-M 'P m -3 m'
_symmetry_Int_Tables_number 221
_symmetry_space_group_name_Hall '-P 4 2 3'
loop_
_atom_site_label
_atom_site_fract_x
_atom_site_fract_y
_atom_site_fract_z
Na1 0.000 0.000 0.000
Sr1 0.500 0.500 0.500
In1 0.000 0.500 0.500
```

Results
DOS(E_F): 4.91 states/eV per cell
E_form: 0.511 eV/atom



VASP calculation (SCAN) on NaSrIn2 at its PBEsol-relaxed geometry.

The structure in CIF format:
```
data_NaSrIn2
_cell_length_a 7.698
_cell_length_b 7.698
_cell_length_c 7.698
_cell_angle_alpha 90.00
_cell_angle_beta 90.00
_cell_angle_gamma 90.00
_symmetry_space_group_name_H-M 'F m -3 m'
_symmetry_Int_Tables_number 225
_symmetry_space_group_name_Hall '-F 4 2 3'
loop_
_atom_site_label
_atom_site_fract_x
_atom_site_fract_y
_atom_site_fract_z
Na1 0.000 0.000 0.000
Sr1 0.000 0.000 0.500
In1 0.250 0.250 0.250
```

Results
DOS(E_F): 6.23 states/eV per cell
E_form: -0.367 eV/atom



VASP calculation (SCAN) on NaTaIn2Tc at its PBEsol-relaxed geometry.

The structure in CIF format:
```
data_NaTaIn2Tc
_cell_length_a 5.436
_cell_length_b 5.436
_cell_length_c 4.588
_cell_angle_alpha 90.00
_cell_angle_beta 90.00
_cell_angle_gamma 90.00
_symmetry_space_group_name_H-M 'P 4/m m m'
_symmetry_Int_Tables_number 123
_symmetry_space_group_name_Hall '-P 4 2'
loop_
_atom_site_label
_atom_site_fract_x
_atom_site_fract_y
_atom_site_fract_z
Na1 0.000 0.000 0.000
Ta1 0.500 0.500 0.500
In1 0.000 0.500 0.500
Tc1 0.500 0.500 0.000
```

Results
DOS(E_F): 4.44 states/eV per cell
E_form: 0.767 eV/atom